Record 1
## KSbMo2 (PBE)

Data for a relaxed structure of KSbMo2.

Output
SG	P4mm, No. 99
ΔE_f (raw)	0.394	eV/atom

a b c (Å): 3.288 3.288 8.791
angles (deg): 90.00 90.00 90.00
Each line ends with the local moment (μB).
Fractional positions:
Mo 0.500 0.500 0.226  -0.07
Mo 0.000 0.000 0.086  0.32
K 0.500 0.500 0.755  0.02
Sb 0.000 0.000 0.432  0.01


Record 2
## Na3Sn3Hg8 (PBE)

Data for a relaxed structure of Na3Sn3Hg8.

Output
SG	Immm, No. 71

a b c (Å): 5.512 9.529 9.529
angles (deg): 57.01 73.19 73.19
Fractional positions:
Hg 0.158 0.499 0.185
Hg 0.653 0.044 0.649
Hg 0.158 0.185 0.499
Hg 0.842 0.815 0.501
Hg 0.842 0.501 0.815
Hg 0.347 0.351 0.956
Hg 0.347 0.956 0.351
Hg 0.653 0.649 0.044
Na 0.770 0.230 0.230
Na 0.500 0.500 0.500
Na 0.230 0.770 0.770
Sn 0.500 0.000 0.000
Sn 0.000 0.170 0.830
Sn 0.000 0.830 0.170


Record 3
## Nd2ThIn (PBE)

Data for a relaxed structure of Nd2ThIn.

Output
SG	P4/mmm, No. 123
excess energy over the best structure of this formula in the dataset	0.010	eV/atom

a b c (Å): 4.912 4.996 4.996
angles (deg): 90.00 90.00 90.00
Fractional positions:
Nd 0.000 0.500 0.000
Nd 0.000 0.000 0.500
Th 0.500 0.500 0.500
In 0.500 0.000 0.000


Record 4
## AlTlTc2 (PBE)

Data for a relaxed structure of AlTlTc2.

Output
SG	Cm, No. 8
excess energy over the best structure of this formula in the dataset	0.210	eV/atom

a b c (Å): 5.152 5.152 4.664
angles (deg): 72.68 72.68 34.49
Fractional positions:
Al 0.267 0.267 0.205
Tl 0.494 0.494 0.531
Tc 0.007 0.007 0.024
Tc 0.733 0.733 0.741


Record 5
## RbLi2HoCl6 (PBE)

Data for a relaxed structure of RbLi2HoCl6.

Output
SG	R-3, No. 148
ΔE_f (raw)	-2.056	eV/atom

a b c (Å): 6.592 6.594 8.804
angles (deg): 68.03 68.00 59.99
Fractional positions:
Li 0.988 0.988 0.035
Li 0.644 0.644 0.068
Cl 0.590 0.255 0.233
Cl 0.711 0.042 0.870
Cl 0.255 0.921 0.233
Cl 0.377 0.711 0.870
Cl 0.042 0.377 0.870
Cl 0.921 0.591 0.233
Ho 0.316 0.316 0.052
Rb 0.816 0.816 0.552


Record 6
## Nd12DyTl6 (PBE)

Data for a relaxed structure of Nd12DyTl6.

Output
SG	R-3, No. 148

a b c (Å): 8.432 8.432 8.432
angles (deg): 88.79 88.79 88.79
Fractional positions:
Nd 0.470 0.564 0.192
Nd 0.808 0.530 0.436
Nd 0.384 0.080 0.120
Nd 0.192 0.470 0.564
Nd 0.080 0.120 0.384
Nd 0.436 0.808 0.530
Nd 0.530 0.436 0.808
Nd 0.616 0.920 0.880
Nd 0.120 0.384 0.080
Nd 0.564 0.192 0.470
Nd 0.880 0.616 0.920
Nd 0.920 0.880 0.616
Tl 0.254 0.724 0.874
Tl 0.724 0.874 0.254
Tl 0.874 0.254 0.724
Tl 0.276 0.126 0.746
Tl 0.746 0.276 0.126
Tl 0.126 0.746 0.276
Dy 0.000 0.000 0.000


Record 7
## CaTl3Ni (PBE)

Data for a relaxed structure of CaTl3Ni.

Output
SG	Pm-3m, No. 221
excess energy over the best structure of this formula in the dataset	1.104	eV/atom

a b c (Å): 5.896 5.896 5.896
angles (deg): 90.00 90.00 90.00
Fractional positions:
Ca 0.000 0.000 0.000
Tl 0.000 0.000 0.500
Tl 0.500 0.000 0.000
Tl 0.000 0.500 0.000
Ni 0.500 0.500 0.500


Record 8
## SbPb2Se2 (PBE)

Data for a relaxed structure of SbPb2Se2.

Output
SG	I4/mmm, No. 139
excess energy over the best structure of this formula in the dataset	0.132	eV/atom
ΔE_f (raw)	-0.009	eV/atom

a b c (Å): 4.029 4.029 9.291
angles (deg): 77.48 77.48 90.00
Fractional positions:
Pb 0.398 0.398 0.204
Pb 0.602 0.602 0.796
Sb 0.000 0.000 0.000
Se 0.250 0.750 0.500
Se 0.750 0.250 0.500


Record 9
## TmTh6Sc8 (PBE)

Data for a relaxed structure of TmTh6Sc8.

Output
SG	R-3, No. 148

a b c (Å): 9.194 9.194 7.848
angles (deg): 54.14 54.14 60.00
Fractional positions:
Th 0.617 0.433 0.773
Th 0.383 0.567 0.227
Th 0.823 0.383 0.227
Th 0.177 0.617 0.773
Th 0.433 0.177 0.773
Th 0.567 0.823 0.227
Sc 0.047 0.380 0.704
Sc 0.225 0.225 0.324
Sc 0.869 0.047 0.704
Sc 0.620 0.131 0.296
Sc 0.953 0.620 0.296
Sc 0.380 0.869 0.704
Sc 0.775 0.775 0.676
Sc 0.131 0.953 0.296
Tm 0.000 0.000 0.000


Record 10
## CdGa2NiGe (PBE)

Data for a relaxed structure of CdGa2NiGe.

Output
SG	P4/mmm, No. 123

a b c (Å): 5.009 4.454 5.009
angles (deg): 90.00 90.00 90.00
Fractional positions:
Ga 0.500 0.000 0.000
Ga 0.000 0.000 0.500
Ge 0.000 0.000 0.000
Ni 0.000 0.500 0.000
Cd 0.500 0.500 0.500


Record 11
## Er4Ni2Ag5 (PBE)

Data for a relaxed structure of Er4Ni2Ag5.

Output
SG	P2/m, No. 10

a b c (Å): 3.595 7.236 8.955
angles (deg): 96.37 90.00 90.00
Fractional positions:
Er 0.500 0.775 0.564
Er 0.500 0.813 0.149
Er 0.500 0.225 0.436
Er 0.500 0.187 0.851
Ag 0.000 0.837 0.858
Ag 0.000 0.456 0.676
Ag 0.000 0.163 0.142
Ag 0.000 0.500 0.000
Ag 0.000 0.544 0.324
Ni 0.000 0.069 0.634
Ni 0.000 0.931 0.366


Calculated total energy / eV/cell: -25.3 -19.8 -20.6 -25.5 -41.0 -79.1 -9.5 -18.6 -97.0 -15.4 -47.8
Ρ / kg/m³: 6163 8503 8606 10656 2650 8648 5767 8027 7538 5694 9509
D(E_F) / states/eV per cell: 3.8 4.6 5.9 3.5 0.0 18.8 9.3 2.0 21.1 2.1 8.2